This record from the Alexandria database describes an optimized crystal structure of CePr3Bi3. The functional is PBE-GGA.

```
data_CePr3Bi3
_space_group_name_H-M_alt 'P 1'
_space_group_IT_number 1
_space_group_name_Hall 'P 1'
_cell_length_a 8.4997
_cell_length_b 8.4997
_cell_length_c 8.4997
_cell_angle_alpha 68.28
_cell_angle_beta 68.28
_cell_angle_gamma 68.28
loop_
_atom_site_label
_atom_site_fract_x
_atom_site_fract_y
_atom_site_fract_z
Ce1 0.1670 0.1670 0.1670
Ce2 0.8330 0.8330 0.8330
Pr1 0.1516 0.6798 0.4095
Pr2 0.3202 0.5905 0.8484
Pr3 0.4095 0.1516 0.6798
Pr4 0.5905 0.8484 0.3202
Pr5 0.6798 0.4095 0.1516
Pr6 0.8484 0.3202 0.5905
Bi1 0.0341 0.4236 0.8027
Bi2 0.1973 0.9659 0.5764
Bi3 0.4236 0.8027 0.0341
Bi4 0.5764 0.1973 0.9659
Bi5 0.8027 0.0341 0.4236
Bi6 0.9659 0.5764 0.1973
```

Summary:
* electronic total energy: -5.24 eV per atom
* formation energy: -0.684 eV/atom